(1)
Here is a relaxed CuReTe crystal from the Alexandria database. Energies are from PBE.

Lattice parameters (Å, degrees): 4.3353 4.3353 4.3353 60.00 60.00 60.00
With the nearest neighbours (Å) after each atom.
Element x y z (fractional)
Cu 0.5000 0.5000 0.5000  4 Re 2.65
Re 0.7500 0.7500 0.7500  4 Te 2.65, 4 Cu 2.65
Te 0.0000 0.0000 0.0000  4 Re 2.65

Space-group type: F-43m
ΔE to the lowest computed polymorph (kJ/mol of atoms): 45.4
VASP energy (eV per cell): -17.77
Total moment (μB/f.u.): 0.0
Formation energy without anion corrections (eV/atom): 0.64

(2)
Here is a relaxed TcHg2N2 crystal from the Alexandria database. Energies are from PBE.

Lattice parameters (Å, degrees): 2.8347 2.8347 9.2216 81.16 81.16 90.00
With the nearest neighbours (Å) after each atom.
Element x y z (fractional)
N 0.7500 0.2500 0.5000  4 N 2.00
N 0.2500 0.7500 0.5000  4 N 2.00
Hg 0.3794 0.3794 0.2412  4 N 2.73, 4 Hg 2.83, 4 Tc 2.96
Hg 0.6206 0.6206 0.7588  4 N 2.73, 4 Hg 2.83, 4 Tc 2.96
Tc 0.0000 0.0000 0.0000  4 Tc 2.83, 8 Hg 2.96

Space-group type: I4/mmm
ΔE to the lowest computed polymorph (kJ/mol of atoms): 119.2
VASP energy (eV per cell): -18.54
Total moment (μB/f.u.): 0.6
Formation energy without anion corrections (eV/atom): 1.82

(3)
Here is a relaxed ZrZn2Hg crystal from the Alexandria database. Energies are from PBE.

Lattice parameters (Å, degrees): 9.3552 9.3552 9.3552 19.32 19.32 19.32
With the nearest neighbours (Å) after each atom.
Element x y z (fractional)
Hg 0.7448 0.7448 0.7448  3 Zn 2.94, 3 Zr 3.13, 6 Hg 3.14
Zn 0.9943 0.9943 0.9943  3 Zn 2.67, 3 Hg 2.94
Zn 0.2566 0.2566 0.2566  3 Zn 2.67, 3 Zr 2.97
Zr 0.5043 0.5043 0.5043  3 Zn 2.97, 3 Hg 3.13, 6 Zr 3.14

Energy of formation (eV/atom): 0.053
Space-group type: R3m
VASP energy (eV per cell): -11.19
Total moment (μB/f.u.): 0.0

(4)
Here is a relaxed LaPrInBr crystal from the Alexandria database. Energies are from PBE.

Lattice parameters (Å, degrees): 5.5436 5.5436 5.5436 60.00 60.00 60.00
With the nearest neighbours (Å) after each atom.
Element x y z (fractional)
Pr 0.5000 0.5000 0.5000  4 In 3.39, 4 Br 3.39
In 0.7500 0.7500 0.7500  4 Pr 3.39, 4 La 3.39
Br 0.2500 0.2500 0.2500  4 La 3.39, 4 Pr 3.39
La 0.0000 0.0000 0.0000  4 Br 3.39, 4 In 3.39

Space-group type: F-43m
VASP energy (eV per cell): -16.88
Total moment (μB/f.u.): 0.0
Formation energy without anion corrections (eV/atom): -0.69

(5)
Here is a relaxed AlIn2Fe crystal from the Alexandria database. Energies are from PBE.

Lattice parameters (Å, degrees): 9.1549 9.1549 9.1549 19.87 19.87 19.87
With the nearest neighbours (Å) after each atom.
Element x y z (fractional)
Al 0.2500 0.2500 0.2500  6 In 3.02, 6 Al 3.16
Fe 0.7500 0.7500 0.7500  6 In 2.77
In 0.0059 0.0059 0.0059  3 Fe 2.77, 3 Al 3.02
In 0.4941 0.4941 0.4941  3 Fe 2.77, 3 Al 3.02

Energy of formation (eV/atom): 0.296
Space-group type: R-3m
VASP energy (eV per cell): -16.50
Total moment (μB/f.u.): 2.5

(6)
Here is a relaxed InCuO3 crystal from the Alexandria database. Energies are from PBE.

Lattice parameters (Å, degrees): 4.0799 4.0799 4.0799 90.00 90.00 90.00
With the nearest neighbours (Å) after each atom.
Element x y z (fractional)
O 0.0000 0.5000 0.0000  2 In 2.04
O 0.0000 0.0000 0.5000  2 In 2.04
O 0.5000 0.0000 0.0000  2 In 2.04
Cu 0.5000 0.5000 0.5000  12 O 2.88
In 0.0000 0.0000 0.0000  6 O 2.04

Space-group type: Pm-3m
VASP energy (eV per cell): -21.48
Total moment (μB/f.u.): 0.0
Formation energy without anion corrections (eV/atom): 0.05

(7)
Here is a relaxed Rb5O3 crystal from the Alexandria database. Energies are from PBE.

Lattice parameters (Å, degrees): 7.3333 8.1033 8.1033 120.00 90.00 90.00
With the nearest neighbours (Å) after each atom.
Element x y z (fractional)
Rb 0.0000 0.6667 0.3333  6 O 3.13, 6 Rb 3.47
Rb 0.0000 0.3333 0.6667  6 O 3.13, 6 Rb 3.47
Rb 0.5000 0.3333 0.6667  6 O 3.13, 6 Rb 3.47
Rb 0.5000 0.6667 0.3333  6 O 3.13, 6 Rb 3.47
Rb 0.2500 0.0000 0.7221  3 O 2.76-2.77
Rb 0.2500 0.7221 0.0000  3 O 2.76-2.77
Rb 0.2500 0.2779 0.2779  3 O 2.76-2.77
Rb 0.7500 0.0000 0.2779  3 O 2.76-2.77
Rb 0.7500 0.2779 0.0000  3 O 2.76-2.77
Rb 0.7500 0.7221 0.7221  3 O 2.76-2.77
O 0.2500 0.0000 0.3799  3 Rb 2.76-2.77
O 0.2500 0.3799 0.0000  3 Rb 2.76-2.77
O 0.2500 0.6201 0.6201  3 Rb 2.76-2.77
O 0.7500 0.0000 0.6201  3 Rb 2.76-2.77
O 0.7500 0.6201 0.0000  3 Rb 2.76-2.77
O 0.7500 0.3799 0.3799  3 Rb 2.76-2.77

Space-group type: P6_3/mcm
VASP energy (eV per cell): -53.08
Total moment (μB/f.u.): 1.0
Formation energy without anion corrections (eV/atom): -0.85

(8)
Here is a relaxed ZrBe2Cu2 crystal from the Alexandria database. Energies are from PBE.

Lattice parameters (Å, degrees): 7.0124 7.0124 2.5774 90.00 90.00 90.00
With the nearest neighbours (Å) after each atom.
Element x y z (fractional)
Be 0.1684 0.6684 0.5000  6 Cu 2.43-2.44, 2 Be 2.58
Be 0.6684 0.8316 0.5000  6 Cu 2.43-2.44, 2 Be 2.58
Be 0.8316 0.3316 0.5000  6 Cu 2.43-2.44, 2 Be 2.58
Be 0.3316 0.1684 0.5000  6 Cu 2.43-2.44, 2 Be 2.58
Cu 0.3757 0.8757 0.0000  6 Be 2.43-2.44, 3 Cu 2.47-2.58
Cu 0.8757 0.6243 0.0000  6 Be 2.43-2.44, 3 Cu 2.47-2.58
Cu 0.6243 0.1243 0.0000  6 Be 2.43-2.44, 3 Cu 2.47-2.58
Cu 0.1243 0.3757 0.0000  6 Be 2.43-2.44, 3 Cu 2.47-2.58
Zr 0.0000 0.0000 0.0000  2 Zr 2.58, 4 Cu 2.77
Zr 0.5000 0.5000 0.0000  2 Zr 2.58, 4 Cu 2.77

Energy of formation (eV/atom): -0.003
Space-group type: P4/mbm
ΔE to the lowest computed polymorph (kJ/mol of atoms): 7.4
VASP energy (eV per cell): -48.41
Total moment (μB/f.u.): 0.0

(9)
Here is a relaxed Tb7Dy2Er2 crystal from the Alexandria database. Energies are from PBE.

Lattice parameters (Å, degrees): 6.0072 11.1732 7.9737 45.52 105.80 112.88
With the nearest neighbours (Å) after each atom.
Element x y z (fractional)
Tb 0.8252 0.5897 0.4688  4 Tb 3.16-3.53, 2 Dy 3.27-3.43
Tb 0.1748 0.9415 0.4688  4 Tb 3.16-3.53, 2 Dy 3.27-3.43
Tb 0.1748 0.4103 0.5312  4 Tb 3.16-3.53, 2 Dy 3.27-3.43
Tb 0.8252 0.0585 0.5312  4 Tb 3.16-3.53, 2 Dy 3.27-3.43
Tb 0.0000 0.0000 0.0000  6 Tb 3.24-3.48
Tb 0.4111 0.7678 0.0000  5 Tb 3.33-3.53, 3 Er 3.43-3.66, 2 Dy 3.47
Tb 0.5889 0.2322 0.0000  5 Tb 3.33-3.53, 3 Er 3.43-3.66, 2 Dy 3.47
Dy 0.5000 0.7830 0.4340  6 Tb 3.27-3.47, 2 Er 3.64
Dy 0.5000 0.2170 0.5660  6 Tb 3.27-3.47, 2 Er 3.64
Er 0.1980 0.4142 0.0000  2 Er 3.38-3.59, 7 Tb 3.43-3.73, 2 Dy 3.64
Er 0.8020 0.5858 0.0000  2 Er 3.38-3.59, 7 Tb 3.43-3.73, 2 Dy 3.64

Energy of formation (eV/atom): 0.160
Space-group type: C2/m
ΔE to the lowest computed polymorph (kJ/mol of atoms): 0.0
VASP energy (eV per cell): -48.98
Total moment (μB/f.u.): 0.0

(10)
Here is a relaxed RbHg3Pd crystal from the Alexandria database. Energies are from PBE.

Lattice parameters (Å, degrees): 14.4124 8.9955 8.9955 106.22 133.39 46.61
With the nearest neighbours (Å) after each atom.
Element x y z (fractional)
Rb 0.7500 0.2282 0.7282  8 Hg 3.51-3.74, 2 Pd 3.64, 2 Rb 3.85
Rb 0.2500 0.7718 0.2718  8 Hg 3.51-3.74, 2 Pd 3.64, 2 Rb 3.85
Rb 0.7500 0.6007 0.1007  8 Hg 3.49-3.75, 2 Pd 3.72
Rb 0.2500 0.3993 0.8993  8 Hg 3.49-3.75, 2 Pd 3.72
Hg 0.4031 0.2534 0.4240  2 Pd 2.83-2.98
Hg 0.0969 0.9240 0.7534  2 Pd 2.83-2.98
Hg 0.5969 0.7466 0.5760  2 Pd 2.83-2.98
Hg 0.9031 0.0760 0.2466  2 Pd 2.83-2.98
Hg 0.0875 0.2600 0.0797  1 Pd 2.86
Hg 0.4125 0.5797 0.7600  1 Pd 2.86
Hg 0.9125 0.7400 0.9203  1 Pd 2.86
Hg 0.5875 0.4203 0.2400  1 Pd 2.86
Hg 0.5911 0.0912 0.9208  2 Pd 2.82-2.83
Hg 0.9088 0.4208 0.5912  2 Pd 2.82-2.83
Hg 0.4088 0.9088 0.0792  2 Pd 2.82-2.83
Hg 0.0912 0.5792 0.4088  2 Pd 2.82-2.83
Pd 0.3148 0.1205 0.5427  5 Hg 2.82-2.98, 1 Pd 2.89
Pd 0.1852 0.0427 0.6205  5 Hg 2.82-2.98, 1 Pd 2.89
Pd 0.6852 0.8795 0.4573  5 Hg 2.82-2.98, 1 Pd 2.89
Pd 0.8148 0.9573 0.3795  5 Hg 2.82-2.98, 1 Pd 2.89

Energy of formation (eV/atom): -0.119
Space-group type: C2/c
ΔE to the lowest computed polymorph (kJ/mol of atoms): 13.2
VASP energy (eV per cell): -30.65
Total moment (μB/f.u.): 0.0

(11)
Here is a relaxed ScGeSb2As crystal from the Alexandria database. Energies are from PBE.

Lattice parameters (Å, degrees): 5.2590 5.1423 5.2590 90.00 90.00 90.00
With the nearest neighbours (Å) after each atom.
Element x y z (fractional)
Sc 0.0000 0.5000 0.0000  2 Ge 2.57
Sb 0.0000 0.0000 0.5000  2 Ge 2.63
Sb 0.5000 0.0000 0.0000  2 Ge 2.63
As 0.5000 0.5000 0.5000  8 Sb 3.68, 4 Sc 3.72
Ge 0.0000 0.0000 0.0000  2 Sc 2.57, 4 Sb 2.63

Space-group type: P4/mmm
VASP energy (eV per cell): -21.57
Total moment (μB/f.u.): 0.0
Formation energy without anion corrections (eV/atom): 0.45

(12)
Here is a relaxed Be3AlPd4 crystal from the Alexandria database. Energies are from PBE.

Lattice parameters (Å, degrees): 4.1017 4.1017 7.1170 73.25 73.25 60.00
With the nearest neighbours (Å) after each atom.
Element x y z (fractional)
Be 0.2487 0.2487 0.2538  8 Pd 2.44-2.64
Be 0.7513 0.7513 0.7462  8 Pd 2.44-2.64
Be 0.5000 0.5000 0.5000  8 Pd 2.42-2.49
Al 0.0000 0.0000 0.0000  8 Pd 2.55-2.57
Pd 0.8723 0.8723 0.3832  7 Be 2.44-2.52, 1 Al 2.57
Pd 0.3797 0.3797 0.8610  5 Be 2.42-2.64, 3 Al 2.55
Pd 0.1277 0.1277 0.6168  7 Be 2.44-2.52, 1 Al 2.57
Pd 0.6203 0.6203 0.1390  5 Be 2.42-2.64, 3 Al 2.55

Energy of formation (eV/atom): -0.624
Space-group type: R-3m
VASP energy (eV per cell): -40.69
Total moment (μB/f.u.): 0.0

Question: total moment of number 6 (InCuO3)?
Answer: 0.0 μB/f.u.

Question: Which of these has the highest total moment?
Answer: AlIn2Fe

Question: Which of these has the highest VASP energy?
Answer: ZrZn2Hg

Question: Which value of VASP energy does entry 6 give?
Answer: -21.48 eV per cell